The following is a DFT calculation (PBE-GGA) of a relaxed TlIn2NiSb crystal.

Calculated values
Crystal system: tetragonal
SG: No. 123
Formation energy (no corrections): 0.030 eV per atom

Cell lengths 5.0565, 5.0565, 5.1418 Å; angles 90.00, 90.00, 90.00 degrees
Fractional coordinates of all 5 atoms:
In (0.5000, 0.0000, 0.0000)
In (0.0000, 0.5000, 0.0000)
Ni (0.0000, 0.0000, 0.0000)
Tl (0.5000, 0.5000, 0.5000)
Sb (0.0000, 0.0000, 0.5000)

---

The following is a DFT calculation (PBE-GGA) of a relaxed Sr5H2OsN4 crystal.

Calculated values
Final energy: -64.06 eV per cell
Crystal system: orthorhombic
SG: No. 38

Cell lengths 6.2786, 5.8921, 7.2545 Å; angles 90.00, 90.00, 122.19 degrees
Last column: magnetic moment on the atom in μB.
Fractional coordinates of all 12 atoms:
Sr (0.4132, 0.0000, 0.5000)  0.04
Sr (0.7182, 0.6476, 0.2310)  0.04
Sr (0.0706, 0.3524, 0.2310)  0.04
Sr (0.0706, 0.3524, 0.7690)  0.04
Sr (0.7182, 0.6476, 0.7690)  0.04
N (0.3759, 0.3097, 0.0000)  0.03
N (0.6113, 0.0000, 0.8115)  0.02
N (0.0662, 0.6903, 0.0000)  0.03
N (0.6113, 0.0000, 0.1885)  0.02
Os (0.3873, 0.0000, 0.0000)  0.18
H (0.4061, 0.4494, 0.5000)  0.00
H (0.9568, 0.5506, 0.5000)  0.00

---

The following is a DFT calculation (PBE-GGA) of a relaxed Pr2LuZn crystal.

Calculated values
Crystal system: trigonal
SG: No. 166
Energy relative to the lowest polymorph listed for this composition: 296 meV per atom
Formation energy: 0.1744 eV/atom

Cell lengths 3.4940, 3.4940, 11.8119 Å; angles 81.49, 81.49, 60.00 degrees
Fractional coordinates of all 4 atoms:
Pr (0.9018, 0.9018, 0.2945)
Pr (0.0982, 0.0982, 0.7055)
Zn (0.5000, 0.5000, 0.5000)
Lu (0.0000, 0.0000, 0.0000)

---

The following is a DFT calculation (PBE-GGA) of a relaxed Sc3Pd2Rh2 crystal.

Calculated values
Crystal system: triclinic
SG: No. 2
Formation energy: -0.8661 eV/atom

Cell lengths 4.4646, 4.5248, 8.4630 Å; angles 89.86, 121.56, 119.72 degrees
Fractional coordinates of all 7 atoms:
Sc (0.3004, 0.1547, 0.7216)
Sc (0.6996, 0.8453, 0.2784)
Sc (0.0000, 0.0000, 0.0000)
Rh (0.1563, 0.5799, 0.8658)
Rh (0.8437, 0.4201, 0.1342)
Pd (0.5552, 0.2761, 0.4168)
Pd (0.4448, 0.7239, 0.5832)

---

The following is a DFT calculation (PBE-GGA) of a relaxed PaBiRh2 crystal.

Calculated values
Crystal system: trigonal
SG: No. 166
Energy relative to the lowest polymorph listed for this composition: 0 meV per atom
Formation energy: -0.4776 eV/atom

Cell lengths 5.0624, 5.0624, 4.8413 Å; angles 58.48, 58.48, 60.00 degrees
Fractional coordinates of all 4 atoms:
Bi (0.5000, 0.5000, 0.5000)
Pa (0.0000, 0.0000, 0.0000)
Rh (0.7869, 0.7869, 0.6394)
Rh (0.2131, 0.2131, 0.3606)

---

The following is a DFT calculation (PBE-GGA) of a relaxed PuPa2Ga6 crystal.

Calculated values
Crystal system: orthorhombic
SG: No. 71
Energy relative to the lowest polymorph listed for this composition: 160 meV per atom
Formation energy: -0.1827 eV/atom

Cell lengths 4.5529, 7.6679, 7.6679 Å; angles 52.81, 72.73, 72.73 degrees
Last column: magnetic moment on the atom in μB.
Fractional coordinates of all 9 atoms:
Ga (0.3070, 0.9902, 0.3958)  0.00
Ga (0.6930, 0.6042, 0.0098)  0.00
Ga (0.6930, 0.0098, 0.6042)  0.00
Ga (0.5000, 0.2958, 0.7042)  0.00
Ga (0.5000, 0.7042, 0.2958)  0.00
Ga (0.3070, 0.3958, 0.9902)  0.00
Pu (0.0000, 0.0000, 0.0000)  -5.47
Pa (0.8953, 0.6047, 0.6047)  -0.05
Pa (0.1047, 0.3953, 0.3953)  -0.05

---

The following is a DFT calculation (PBE-GGA) of a relaxed PmHfOs2 crystal.

Calculated values
Crystal system: tetragonal
SG: No. 123
Formation energy: -0.2365 eV/atom

Cell lengths 3.3298, 3.3298, 6.9272 Å; angles 90.00, 90.00, 90.00 degrees
Fractional coordinates of all 4 atoms:
Hf (0.5000, 0.5000, 0.0000)
Os (0.0000, 0.0000, 0.2220)
Os (0.0000, 0.0000, 0.7780)
Pm (0.5000, 0.5000, 0.5000)

---

The following is a DFT calculation (PBE-GGA) of a relaxed LaEr3Tm4 crystal.

Calculated values
Crystal system: monoclinic
SG: No. 12
Energy relative to the lowest polymorph listed for this composition: 77 meV per atom
Formation energy: 0.0871 eV/atom

Cell lengths 5.5907, 5.9086, 8.6898 Å; angles 110.49, 108.77, 90.00 degrees
Fractional coordinates of all 8 atoms:
Tm (0.7530, 0.3228, 0.5062)
Tm (0.6346, 0.6886, 0.2692)
Tm (0.2470, 0.6772, 0.4938)
Tm (0.3654, 0.3114, 0.7308)
Er (0.0000, 0.5000, 0.0000)
Er (0.8619, 0.9251, 0.7237)
Er (0.1381, 0.0749, 0.2763)
La (0.5000, 0.0000, 0.0000)